Sm8As4P3S | Alexandria via LeMat-Bulk | PBE | optimized geometry; formation energy without anion corrections = -1.632 eV/atom; volume = 25.3 A^3/atom; Fermi-level density of states = 3.71 states/eV/f.u.; raw total energy = -6.43 eV/atom
1.0
8.3021 0.0000 0.0000
0.0000 8.3029 -0.0046
-4.1510 -4.1475 5.8737
Sm P As S
8 3 4 1
Direct
0.2498 0.7451 0.9953 Sm
0.7454 0.7451 0.9953 Sm
0.7478 0.7433 0.4956 Sm
0.7502 0.2549 0.0047 Sm
0.2522 0.2567 0.5044 Sm
0.2546 0.2549 0.0047 Sm
0.7501 0.2548 0.5002 Sm
0.2499 0.7452 0.4998 Sm
0.5000 0.5000 0.0000 P
0.0000 0.5000 0.5000 P
0.5000 0.5000 0.5000 P
0.5000 0.0000 0.5000 As
0.5000 0.0000 0.0000 As
0.0000 0.0000 0.5000 As
0.0000 0.0000 0.0000 As
0.0000 0.5000 0.0000 S